Entry 1:
The following is a meta-GGA SCAN calculation of a PBEsol-optimized structure of Ba2SrInMo, from Alexandria via LeMat-Bulk.

Output
For the formation energy from the elements, the calculation gives 520 meV per atom. For the uncorrected energy, the calculation gives -167.05 eV per cell. The total moment comes out at 0.0 μB/f.u. Its density is 5.16 g/cm3.

Lattice parameters (Å, degrees): 5.7872 5.7872 5.5110 90.00 90.00 90.00
Fractional coordinates of all 5 atoms:
Ba  0.0000  0.5000  0.0000
Ba  0.5000  0.0000  0.0000
Sr  0.0000  0.0000  0.5000
In  0.5000  0.5000  0.5000
Mo  0.5000  0.5000  0.0000

Entry 2:
The following is a meta-GGA SCAN calculation of a PBEsol-optimized structure of SrCa3W, from Alexandria via LeMat-Bulk.

Output
For the formation energy from the elements, the calculation gives 808 meV per atom. For the uncorrected energy, the calculation gives -116.91 eV per cell. The total moment comes out at 1.5 μB/f.u. Its density is 3.55 g/cm3.

Lattice parameters (Å, degrees): 5.6801 5.6801 5.6801 90.00 90.00 90.00
Fractional coordinates of all 5 atoms:
Sr  0.0000  0.0000  0.0000
Ca  0.0000  0.5000  0.5000
Ca  0.5000  0.0000  0.5000
Ca  0.5000  0.5000  0.0000
W  0.5000  0.5000  0.5000

Entry 3:
The following is a meta-GGA SCAN calculation of a PBEsol-optimized structure of HoSnPt, from Alexandria via LeMat-Bulk.

Output
For the formation energy from the elements, the calculation gives -1296 meV per atom. For the uncorrected energy, the calculation gives -476.97 eV per cell. The total moment comes out at 0.0 μB/f.u. Its density is 12.76 g/cm3.

Lattice parameters (Å, degrees): 7.3912 7.3912 3.9502 90.00 90.00 120.00
Fractional coordinates of all 9 atoms:
Ho  0.0000  0.4058  0.0000
Ho  0.4058  0.0000  0.0000
Ho  0.5942  0.5942  0.0000
Sn  0.0000  0.7404  0.5000
Sn  0.2596  0.2596  0.5000
Sn  0.7404  0.0000  0.5000
Pt  0.0000  0.0000  0.0000
Pt  0.3333  0.6667  0.5000
Pt  0.6667  0.3333  0.5000

Entry 4:
The following is a meta-GGA SCAN calculation of a PBEsol-optimized structure of Fe2SbRu, from Alexandria via LeMat-Bulk.

Output
For the uncorrected energy, the calculation gives -108.04 eV per cell. The total moment comes out at 5.6 μB/f.u. Its density is 10.01 g/cm3. For the formation energy (no corrections), the calculation gives 0.077 eV per atom.

Lattice parameters (Å, degrees): 3.4771 3.9735 4.0168 90.00 90.00 90.00
Fractional coordinates of all 4 atoms:
Fe  0.0000  0.0000  0.0000
Fe  0.5000  0.5000  0.0000
Sb  0.0000  0.5000  0.5000
Ru  0.5000  0.0000  0.5000

Entry 5:
The following is a meta-GGA SCAN calculation of a PBEsol-optimized structure of Rb2NbCl6, from Alexandria via LeMat-Bulk.

Output
For the uncorrected energy, the calculation gives -138.97 eV per cell. The total moment comes out at 1.0 μB/f.u. Its density is 3.20 g/cm3. For the formation energy (no corrections), the calculation gives -1.833 eV per atom.

Lattice parameters (Å, degrees): 7.0443 7.0443 7.0443 119.95 119.95 90.09
Fractional coordinates of all 9 atoms:
Rb  0.2500  0.7500  0.5000
Rb  0.7500  0.2500  0.5000
Nb  0.0000  0.0000  0.0000
Cl  0.2425  0.2425  0.0000
Cl  0.2421  0.2421  0.4841
Cl  0.2421  0.7579  0.0000
Cl  0.7579  0.2421  0.0000
Cl  0.7575  0.7575  0.0000
Cl  0.7579  0.7579  0.5159

Entry 6:
The following is a meta-GGA SCAN calculation of a PBEsol-optimized structure of SrTe2S, from Alexandria via LeMat-Bulk.

Output
For the uncorrected energy, the calculation gives -107.97 eV per cell. The total moment comes out at 0.0 μB/f.u. Its density is 3.45 g/cm3. For the formation energy (no corrections), the calculation gives -0.390 eV per atom.

Lattice parameters (Å, degrees): 8.0480 8.0480 8.0480 38.35 38.35 38.35
Fractional coordinates of all 4 atoms:
Sr  0.0000  0.0000  0.0000
Te  0.3880  0.3880  0.3880
Te  0.6120  0.6120  0.6120
S  0.5000  0.5000  0.5000

Entry 7:
The following is a meta-GGA SCAN calculation of a PBEsol-optimized structure of Sr4MoSe, from Alexandria via LeMat-Bulk.

Output
For the uncorrected energy, the calculation gives -139.19 eV per cell. The total moment comes out at 3.1 μB/f.u. Its density is 4.05 g/cm3. For the formation energy (no corrections), the calculation gives 0.812 eV per atom.

Lattice parameters (Å, degrees): 6.7281 6.7281 6.7281 60.00 60.00 60.00
Fractional coordinates of all 6 atoms:
Sr  0.1247  0.1247  0.1247
Sr  0.1247  0.1247  0.6260
Sr  0.1247  0.6260  0.1247
Sr  0.6260  0.1247  0.1247
Mo  0.7500  0.7500  0.7500
Se  0.5000  0.5000  0.5000

Entry 8:
The following is a meta-GGA SCAN calculation of a PBEsol-optimized structure of ReBiPCl2, from Alexandria via LeMat-Bulk.

Output
As for the energy relative to the lowest polymorph listed for this composition: 0.000 eV per atom. For the uncorrected energy, the calculation gives -173.75 eV per cell. The total moment comes out at 0.8 μB/f.u. Its density is 7.86 g/cm3. For the formation energy (no corrections), the calculation gives 0.457 eV per atom.

Lattice parameters (Å, degrees): 4.7210 4.7210 4.7126 90.00 90.00 90.00
Fractional coordinates of all 5 atoms:
Re  0.0000  0.0000  0.0000
Bi  0.5000  0.5000  0.5000
P  0.0000  0.0000  0.5000
Cl  0.0000  0.5000  0.0000
Cl  0.5000  0.0000  0.0000